VASP calculation (GGA+U) on an optimized crystal structure of NaV2F11.

Summary:
Total energy   -144.3 eV per cell

Cell: 9.109 8.217 8.217 Å, 65.67 56.34 56.34°
Element x y z (fractional)
V 0.654 0.659 0.341
V 0.346 0.341 0.659
V 0.846 0.159 0.841
V 0.154 0.841 0.159
F 0.500 0.500 0.500
F 0.828 0.381 0.863
F 0.371 0.821 0.931
F 0.000 0.000 0.000
F 0.210 0.204 0.796
F 0.877 0.931 0.821
F 0.928 0.863 0.381
F 0.377 0.321 0.431
F 0.672 0.637 0.119
F 0.290 0.704 0.296
F 0.123 0.069 0.179
F 0.072 0.137 0.619
F 0.871 0.431 0.321
F 0.428 0.881 0.363
F 0.623 0.679 0.569
F 0.172 0.619 0.137
F 0.790 0.796 0.204
F 0.629 0.179 0.069
F 0.129 0.569 0.679
F 0.710 0.296 0.704
F 0.328 0.363 0.881
F 0.572 0.119 0.637
Na 0.250 0.250 0.250
Na 0.750 0.750 0.750